Here is a geometry-optimized K2WO5 structure from the Alexandria database. Energies are from PBE+U.

The density of states at the Fermi level is 0.798 states/eV/atom. The spin magnetization is 2.005 μB/f.u. The value obtained for the final energy is -5.77 eV per atom.

Cell lengths 6.294, 6.294, 3.964 Å; angles 90.00, 90.00, 90.00 degrees
Atoms (fractional coordinates):
1 K 0.000 0.500 0.000
2 K 0.500 0.000 0.000
3 W 0.000 0.000 0.500
4 O 0.000 0.000 0.000
5 O 0.215 0.215 0.500
6 O 0.215 0.785 0.500
7 O 0.785 0.215 0.500
8 O 0.785 0.785 0.500